Material: Ga2CoCu
Method: DFT, GGA-PBE
State: optimized geometry

The value obtained for the calculated volume is 12.8 Å³ per atom. The calculation puts the energy of formation from the pure elements at -0.109 eV/atom. For the theoretical density, the calculation gives 8.5 g cm⁻³.

The space group is Fm-3m (No. 225) and the conventional cell measures 5.892, 5.892 and 5.892 Å, with angles of 90.00, 90.00 and 90.00 degrees. The inequivalent atoms are Ga at (0.250, 0.250, 0.250), Co at (0.000, 0.000, 0.000) and Cu at (0.000, 0.000, 0.500).

***

Material: Ga2CoCu
Method: DFT, GGA-PBE
State: optimized geometry

The value obtained for the calculated volume is 12.8 Å³ per atom. The calculation puts the energy of formation from the pure elements at -0.120 eV/atom. For the theoretical density, the calculation gives 8.5 g cm⁻³.

The space group is P4/mmm (No. 123) and the conventional cell measures 4.179, 4.179 and 2.931 Å, with angles of 90.00, 90.00 and 90.00 degrees. The inequivalent atoms are Ga at (0.000, 0.500, 0.000), Co at (0.000, 0.000, 0.500) and Cu at (0.500, 0.500, 0.500).

***

Material: GaCoCu2
Method: DFT, GGA-PBE
State: optimized geometry

The value obtained for the calculated volume is 13.4 Å³ per atom. The calculation puts the energy of formation from the pure elements at 0.312 eV/atom. For the theoretical density, the calculation gives 7.9 g cm⁻³.

The space group is R-3m (No. 166, hexagonal axes) and the conventional cell measures 2.5913, 2.5913 and 27.5656 Å, with angles of 90.00, 90.00 and 120.00 degrees. The inequivalent atoms are Ga at (0.0000, 0.0000, 0.0000), Co at (0.0000, 0.0000, 0.5000) and Cu at (0.0000, 0.0000, 0.4128).

***

Material: Ga3CoCu
Method: DFT, GGA-PBE
State: optimized geometry

For the energy above the lowest structure with this stoichiometry, the calculation gives 0 meV per atom. The value obtained for the calculated volume is 14.6 Å³ per atom. The calculation puts the energy of formation from the pure elements at -0.165 eV/atom. For the theoretical density, the calculation gives 7.5 g cm⁻³.

The space group is C2/c (No. 15) and the conventional cell measures 12.536, 12.175 and 4.053 Å, with angles of 90.00, 108.83 and 90.00 degrees. The inequivalent atoms are Ga at (0.112, 0.091, 0.361), Ga at (0.122, 0.411, 0.372), Ga at (0.126, 0.246, 0.876), Co at (0.000, 0.255, 0.250), Co at (0.000, 0.417, 0.750) and Cu at (0.243, 0.073, 0.992).

***

Material: Ga2CoCu2
Method: DFT, GGA-PBE
State: optimized geometry

For the energy above the lowest structure with this stoichiometry, the calculation gives 0 meV per atom. The value obtained for the calculated volume is 13.5 Å³ per atom. The calculation puts the energy of formation from the pure elements at 0.099 eV/atom. For the theoretical density, the calculation gives 8.0 g cm⁻³.

The space group is P4/mbm (No. 127) and the conventional cell measures 6.800, 6.800 and 2.916 Å, with angles of 90.00, 90.00 and 90.00 degrees. The inequivalent atoms are Ga at (0.159, 0.341, 0.000), Co at (0.000, 0.000, 0.000) and Cu at (0.141, 0.641, 0.500).

***

Material: Ga4CoCu
Method: DFT, GGA-PBE
State: optimized geometry

For the energy above the lowest structure with this stoichiometry, the calculation gives 50 meV per atom. The value obtained for the calculated volume is 15.6 Å³ per atom. The calculation puts the energy of formation from the pure elements at -0.102 eV/atom. For the theoretical density, the calculation gives 7.1 g cm⁻³.

The space group is C2/c (No. 15) and the conventional cell measures 8.063, 10.592 and 5.261 Å, with angles of 90.00, 123.54 and 90.00 degrees. The inequivalent atoms are Ga at (0.114, 0.181, 0.090), Ga at (0.207, 0.424, 0.290), Co at (0.000, 0.006, 0.250) and Cu at (0.000, 0.373, 0.750).

***

Repeat the third record exactly.
Material: GaCoCu2
Method: DFT, GGA-PBE
State: optimized geometry

The value obtained for the calculated volume is 13.4 Å³ per atom. The calculation puts the energy of formation from the pure elements at 0.312 eV/atom. For the theoretical density, the calculation gives 7.9 g cm⁻³.

The space group is R-3m (No. 166, hexagonal axes) and the conventional cell measures 2.5913, 2.5913 and 27.5656 Å, with angles of 90.00, 90.00 and 120.00 degrees. The inequivalent atoms are Ga at (0.0000, 0.0000, 0.0000), Co at (0.0000, 0.0000, 0.5000) and Cu at (0.0000, 0.0000, 0.4128).

***

The highest calculated volume belongs to which entry? Ga4CoCu